The following is a PBE calculation of crystalline AcPmSmHg at its relaxed geometry, from Alexandria via LeMat-Bulk.

Properties
DFT formation energy, meV per atom: 4
Energy above the most stable polymorph in this dataset, meV per atom: 225
Space-group type: No. 216
V, Å³/cell: 511.6

a b c (Å): 7.998 7.998 7.998
angles (deg): 90.00 90.00 90.00
Atoms (fractional coordinates):
Ac 0.000 0.000 0.000
Ac 0.000 0.500 0.500
Ac 0.500 0.000 0.500
Ac 0.500 0.500 0.000
Pm 0.250 0.250 0.250
Pm 0.250 0.750 0.750
Pm 0.750 0.250 0.750
Pm 0.750 0.750 0.250
Sm 0.250 0.250 0.750
Sm 0.250 0.750 0.250
Sm 0.750 0.250 0.250
Sm 0.750 0.750 0.750
Hg 0.000 0.000 0.500
Hg 0.000 0.500 0.000
Hg 0.500 0.000 0.000
Hg 0.500 0.500 0.500